Record 1
VASP calculation (GGA-PBE) on crystalline KBiAs2Ir at its relaxed geometry.

Unit cell a=5.4264 b=5.4264 c=6.4635 alpha=90.00 beta=90.00 gamma=90.00
Last column: nearest neighbours and their distance in Å.
Atoms (fractional coordinates):
K  0.0000  0.0000  0.0000  2 Bi 3.23
Bi  0.0000  0.0000  0.5000  4 As 2.71
As  0.0000  0.5000  0.5000  2 Bi 2.71
As  0.5000  0.0000  0.5000  2 Bi 2.71
Ir  0.5000  0.5000  0.0000  4 K 3.84, 8 As 4.22

Output
- ΔH_f (0 K) (meV per atom) = 1596.0
- D(E_F) (states/eV per atom) = 1.7199
- uncorrected energy (eV/atom) = -3.0317

Record 2
VASP calculation (GGA-PBE) on crystalline Ba2PW at its relaxed geometry.

Unit cell a=4.2423 b=6.4783 c=6.4783 alpha=45.62 beta=90.00 gamma=90.00
Last column: nearest neighbours and their distance in Å.
Atoms (fractional coordinates):
Ba  0.0000  0.0000  0.0000  3 P 3.40-3.68, 4 W 3.50
Ba  0.5000  0.2868  0.2868  2 W 3.35, 4 P 3.48
P  0.0000  0.6920  0.6920  2 W 2.38
W  0.5000  0.6011  0.6011  2 P 2.38

Output
- ΔH_f (0 K) (meV per atom) = 153.2
- D(E_F) (states/eV per atom) = 1.2565
- uncorrected energy (eV/atom) = -5.3989

Record 3
VASP calculation (GGA-PBE) on crystalline LiYHf at its relaxed geometry.

Unit cell a=3.4733 b=4.1146 c=10.6350 alpha=90.00 beta=90.00 gamma=90.00
Last column: nearest neighbours and their distance in Å.
Atoms (fractional coordinates):
Li  0.2500  0.2500  0.0677  4 Li 3.05, 4 Y 3.36
Li  0.7500  0.7500  0.9323  4 Li 3.05, 4 Y 3.36
Y  0.2500  0.2500  0.7438  5 Hf 3.27-3.31, 5 Li 3.36-3.44, 2 Y 3.47
Y  0.7500  0.7500  0.2562  5 Hf 3.27-3.31, 5 Li 3.36-3.44, 2 Y 3.47
Hf  0.2500  0.2500  0.4368  4 Hf 3.01, 5 Y 3.27-3.31
Hf  0.7500  0.7500  0.5632  4 Hf 3.01, 5 Y 3.27-3.31

Output
- ΔH_f (0 K) (meV per atom) = 99.7
- D(E_F) (states/eV per atom) = 1.2376
- uncorrected energy (eV/atom) = -6.0107

Record 4
VASP calculation (GGA-PBE) on crystalline BeAlSi at its relaxed geometry.

Unit cell a=3.6569 b=4.4435 c=5.5497 alpha=83.08 beta=71.82 gamma=89.38
Last column: nearest neighbours and their distance in Å.
Atoms (fractional coordinates):
Be  0.2296  0.1139  0.0418  2 Be 2.16-2.17, 3 Si 2.31-2.32
Be  0.7704  0.8861  0.9582  2 Be 2.16-2.17, 3 Si 2.31-2.32
Al  0.1287  0.5888  0.2487  4 Be 2.45-2.65, 2 Si 2.60-2.62, 1 Al 2.67
Al  0.8713  0.4112  0.7513  4 Be 2.45-2.65, 2 Si 2.60-2.62, 1 Al 2.67
Si  0.3941  0.8340  0.6988  3 Be 2.31-2.32, 1 Si 2.41
Si  0.6059  0.1660  0.3012  3 Be 2.31-2.32, 1 Si 2.41

Output
- D(E_F) (states/eV per atom) = 0.3276
- uncorrected energy (eV/atom) = -4.1007

Record 5
VASP calculation (GGA-PBE) on crystalline In3S4Cl at its relaxed geometry.

Unit cell a=7.2423 b=7.2423 c=10.0682 alpha=109.22 beta=109.22 gamma=53.82
Last column: nearest neighbours and their distance in Å.
Atoms (fractional coordinates):
In  0.0193  0.9807  0.5000  4 S 2.53-2.59
In  0.3842  0.4311  0.8511  4 S 2.53-2.68, 1 Cl 2.72
In  0.4311  0.3842  0.3511  4 S 2.53-2.68, 1 Cl 2.72
In  0.5997  0.6657  0.2176  4 S 2.53-2.65, 1 Cl 2.69
In  0.6657  0.5997  0.7176  4 S 2.53-2.65, 1 Cl 2.69
In  0.9807  0.0193  0.0000  4 S 2.53-2.59
S  0.2144  0.7819  0.2789  3 In 2.56-2.63
S  0.2767  0.6067  0.5996  3 In 2.53-2.68
S  0.4030  0.8075  0.9799  3 In 2.53-2.67
S  0.6067  0.2767  0.0996  3 In 2.53-2.68
S  0.6424  0.9788  0.4031  3 In 2.53-2.59
S  0.7819  0.2144  0.7789  3 In 2.56-2.63
S  0.8075  0.4030  0.4799  3 In 2.53-2.67
S  0.9788  0.6424  0.9031  3 In 2.53-2.59
Cl  0.0521  0.3688  0.1974  3 In 2.69-2.86
Cl  0.3688  0.0521  0.6974  3 In 2.69-2.86

Output
- uncorrected energy (eV/atom) = -3.8953

Record 6
VASP calculation (GGA-PBE) on crystalline CsCoPAu2 at its relaxed geometry.

Unit cell a=4.9478 b=4.9478 c=5.1664 alpha=90.00 beta=90.00 gamma=90.00
Last column: nearest neighbours and their distance in Å.
Atoms (fractional coordinates):
Cs  0.0000  0.0000  0.0000  2 Co 2.58
Co  0.0000  0.0000  0.5000  4 Au 2.47, 2 Cs 2.58
P  0.5000  0.5000  0.0000  4 Cs 3.50, 8 Au 3.58
Au  0.0000  0.5000  0.5000  2 Co 2.47
Au  0.5000  0.0000  0.5000  2 Co 2.47

Output
- ΔH_f (0 K) (meV per atom) = 1110.8
- D(E_F) (states/eV per atom) = 1.2678
- uncorrected energy (eV/atom) = -2.8740

Record 7
VASP calculation (GGA-PBE) on crystalline Li2PaSO6 at its relaxed geometry.

Unit cell a=5.5980 b=5.5980 c=4.3698 alpha=90.00 beta=90.00 gamma=90.00
Last column: nearest neighbours and their distance in Å.
Atoms (fractional coordinates):
Li  0.0000  0.5000  0.0000  4 O 2.14
Li  0.5000  0.0000  0.0000  4 O 2.14
Pa  0.0000  0.0000  0.7438  6 O 2.09-2.28
S  0.5000  0.5000  0.7355  1 O 1.45
O  0.0000  0.0000  0.2662  2 Pa 2.09-2.28
O  0.2709  0.2709  0.8186  1 S 1.85
O  0.2709  0.7291  0.8186  1 S 1.85
O  0.5000  0.5000  0.4029  1 S 1.45
O  0.7291  0.2709  0.8186  1 S 1.85
O  0.7291  0.7291  0.8186  1 S 1.85

Output
- D(E_F) (states/eV per atom) = 0.1065
- uncorrected energy (eV/atom) = -6.6916

Record 8
VASP calculation (GGA-PBE) on crystalline NdCuHgPd at its relaxed geometry.

Unit cell a=4.8768 b=4.8768 c=4.8768 alpha=60.00 beta=60.00 gamma=60.00
Last column: nearest neighbours and their distance in Å.
Atoms (fractional coordinates):
Nd  0.0000  0.0000  0.0000  4 Cu 2.99, 4 Pd 2.99
Cu  0.7500  0.7500  0.7500  4 Hg 2.99, 4 Nd 2.99
Hg  0.5000  0.5000  0.5000  4 Cu 2.99, 4 Pd 2.99
Pd  0.2500  0.2500  0.2500  4 Hg 2.99, 4 Nd 2.99

Output
- ΔH_f (0 K) (meV per atom) = -368.8
- D(E_F) (states/eV per atom) = 0.6046
- uncorrected energy (eV/atom) = -3.9585

Record 9
VASP calculation (GGA-PBE) on crystalline Sc2AgPt at its relaxed geometry.

Unit cell a=4.7540 b=4.7540 c=3.3438 alpha=90.00 beta=90.00 gamma=90.00
Last column: nearest neighbours and their distance in Å.
Atoms (fractional coordinates):
Sc  0.0000  0.5000  0.0000  4 Pt 2.91, 4 Ag 2.91
Sc  0.5000  0.0000  0.0000  4 Pt 2.91, 4 Ag 2.91
Ag  0.0000  0.0000  0.5000  8 Sc 2.91
Pt  0.5000  0.5000  0.5000  8 Sc 2.91

Output
- ΔH_f (0 K) (meV per atom) = -759.8
- D(E_F) (states/eV per atom) = 0.8082
- uncorrected energy (eV/atom) = -6.1486

Record 10
VASP calculation (GGA-PBE) on crystalline Tb5Dy2Tm5 at its relaxed geometry.

Unit cell a=7.8667 b=7.8667 c=11.1396 alpha=115.07 beta=115.07 gamma=36.85
Last column: nearest neighbours and their distance in Å.
Atoms (fractional coordinates):
Tb  0.0000  0.0000  0.0000  4 Dy 3.51, 6 Tm 3.52-3.53, 2 Tb 3.52
Tb  0.0840  0.0840  0.7503  7 Tm 3.50-3.52, 3 Tb 3.52, 2 Dy 3.53
Tb  0.1661  0.1661  0.4994  5 Tm 3.51-3.53, 4 Tb 3.52-3.53, 3 Dy 3.52-3.53
Tb  0.8339  0.8339  0.5006  5 Tm 3.51-3.53, 4 Tb 3.52-3.53, 3 Dy 3.52-3.53
Tb  0.9160  0.9160  0.2497  7 Tm 3.50-3.52, 3 Tb 3.52, 2 Dy 3.53
Dy  0.4167  0.4167  0.7509  7 Tb 3.51-3.53, 5 Tm 3.52-3.53
Dy  0.5833  0.5833  0.2491  7 Tb 3.51-3.53, 5 Tm 3.52-3.53
Tm  0.2498  0.2498  0.2492  4 Tm 3.51-3.53, 6 Tb 3.51-3.53, 2 Dy 3.52
Tm  0.3324  0.3324  0.9996  5 Tm 3.50-3.51, 5 Tb 3.50-3.53, 2 Dy 3.52-3.53
Tm  0.5000  0.5000  0.5000  8 Tb 3.51-3.52, 2 Tm 3.53, 2 Dy 3.53
Tm  0.6676  0.6676  0.0004  5 Tm 3.50-3.51, 5 Tb 3.50-3.53, 2 Dy 3.52-3.53
Tm  0.7502  0.7502  0.7508  4 Tm 3.51-3.53, 6 Tb 3.51-3.53, 2 Dy 3.52

Output
- ΔH_f (0 K) (meV per atom) = 20.9
- D(E_F) (states/eV per atom) = 1.3945
- uncorrected energy (eV/atom) = -4.5385

Record 11
VASP calculation (GGA-PBE) on crystalline Y4Sn2H at its relaxed geometry.

Unit cell a=6.3076 b=6.5334 c=9.0920 alpha=90.00 beta=109.74 gamma=90.00
Last column: nearest neighbours and their distance in Å.
Atoms (fractional coordinates):
Y  0.0329  0.0009  0.2916  1 H 2.22
Y  0.0329  0.4991  0.2916  1 H 2.22
Y  0.3726  0.7500  0.0603  1 H 2.25
Y  0.4320  0.7500  0.6473  1 H 2.23
Y  0.5680  0.2500  0.3527  1 H 2.23
Y  0.6274  0.2500  0.9397  1 H 2.25
Y  0.9671  0.5009  0.7084  1 H 2.22
Y  0.9671  0.9991  0.7084  1 H 2.22
Sn  0.1870  0.2500  0.0314  9 Y 3.09-3.45, 1 H 3.40
Sn  0.3289  0.2500  0.5954  8 Y 3.06-3.33
Sn  0.6711  0.7500  0.4046  8 Y 3.06-3.33
Sn  0.8130  0.7500  0.9686  9 Y 3.09-3.45, 1 H 3.40
H  0.2163  0.7500  0.7977  4 Y 2.22-2.25
H  0.7837  0.2500  0.2023  4 Y 2.22-2.25

Output
- D(E_F) (states/eV per atom) = 0.7804
- uncorrected energy (eV/atom) = -5.9707

Record 12
VASP calculation (GGA-PBE) on crystalline CoRe2HIr at its relaxed geometry.

Unit cell a=3.8467 b=3.8467 c=3.8624 alpha=90.00 beta=90.00 gamma=90.00
Last column: nearest neighbours and their distance in Å.
Atoms (fractional coordinates):
Co  0.0000  0.0000  0.0000  2 H 1.93
Re  0.0000  0.5000  0.5000  2 H 1.92
Re  0.5000  0.0000  0.5000  2 H 1.92
H  0.0000  0.0000  0.5000  4 Re 1.92, 2 Co 1.93
Ir  0.5000  0.5000  0.0000  4 Co 2.72, 8 Re 2.73

Output
- D(E_F) (states/eV per atom) = 0.8649
- uncorrected energy (eV/atom) = -8.7407